Here is Tl2GaGe2O6 after structural relaxation from the Alexandria database. Energies are from PBE-GGA.

Properties
* energy relative to the elements, uncorrected: -1231 kJ/mol of formula units
* volume: 14.13 Å³/atom
* SG: C2/m (12)

Cell: 5.690 5.579 6.798 Å, 118.05 90.00 120.66°
Element x y z (fractional)
Tl (0.697, 0.394, 0.170)
Tl (0.303, 0.606, 0.830)
Ga (0.500, 0.000, 0.500)
Ge (0.956, 0.913, 0.786)
Ge (0.044, 0.087, 0.214)
O (0.738, 0.477, 0.581)
O (0.185, 0.881, 0.255)
O (0.304, 0.119, 0.745)
O (0.815, 0.119, 0.745)
O (0.696, 0.881, 0.255)
O (0.262, 0.523, 0.419)